The following is a DFT calculation (GGA-PBE) of K2CaHfTe4 after structural relaxation.

Computed properties:
The value obtained for the total energy is -4.48 eV/atom. The energy relative to the elements, uncorrected comes out at -1.14 eV per atom.

Cell lengths 4.388, 7.776, 8.548 Å; angles 106.69, 90.00, 90.00 degrees
Fractional coordinates of all 8 atoms:
K1 0.500 0.000 0.500
K2 0.000 0.500 0.500
Ca1 0.500 0.500 0.000
Hf1 0.000 0.000 0.000
Te1 0.500 0.213 0.199
Te2 0.500 0.787 0.801
Te3 0.000 0.240 0.795
Te4 0.000 0.760 0.205